Record 1
This record from Alexandria describes crystalline KCa2Se2 at its relaxed geometry. The functional is GGA-PBE. Values from VASP.

Geometry as Quantum ESPRESSO input:
```
&SYSTEM
  ibrav = 0, nat = 5, ntyp = 3
/
ATOMIC_SPECIES
Ca 40.08 Ca.upf
K 39.10 K.upf
Se 78.96 Se.upf
ATOMIC_POSITIONS angstrom
Ca -2.217 -3.566 -1.459
Ca -4.457 -6.756 -3.156
K 0.000 0.000 0.000
Se -4.905 -4.609 -1.275
Se -1.769 -5.713 -3.340
CELL_PARAMETERS angstrom
-5.467 -0.683 -0.520
0.804 -2.892 -4.650
-2.011 -6.747 0.555
```

Properties
As for the calculated density: 2.6 Mg/m³. The calculation puts the uncorrected energy at -18.7 eV/cell. Its space group is No. 139. The uncorrected formation energy comes out at -1.3316 eV per atom. The energy above the most stable polymorph in this dataset is 0 meV/atom. Its crystal system is tetragonal.



Record 2
This record from Alexandria describes crystalline Pm3TlIr2 at its relaxed geometry. The functional is GGA-PBE. Values from VASP.

Geometry as Quantum ESPRESSO input:
```
&SYSTEM
  ibrav = 0, nat = 6, ntyp = 3
/
ATOMIC_SPECIES
Pm 145.00 Pm.upf
Tl 204.38 Tl.upf
Ir 192.22 Ir.upf
ATOMIC_POSITIONS angstrom
Pm 0.000 0.000 0.000
Pm 0.000 0.000 8.630
Pm 0.000 0.000 3.476
Tl 1.757 1.757 6.053
Ir 1.757 1.757 10.290
Ir 1.757 1.757 1.816
CELL_PARAMETERS angstrom
3.515 0.000 0.000
0.000 3.515 0.000
0.000 0.000 12.106
```

Properties
As for the calculated density: 11.4 Mg/m³. The calculation puts the uncorrected energy at -37.6 eV/cell. Its space group is No. 123. As for the formation energy from the elements: -0.54 eV per atom. The energy above the most stable polymorph in this dataset is 0 meV/atom. Its crystal system is tetragonal.



Record 3
This record from Alexandria describes crystalline LaMg2Ir at its relaxed geometry. The functional is GGA-PBE. Values from VASP.

Geometry as Quantum ESPRESSO input:
```
&SYSTEM
  ibrav = 0, nat = 4, ntyp = 3
/
ATOMIC_SPECIES
Ir 192.22 Ir.upf
La 138.91 La.upf
Mg 24.30 Mg.upf
ATOMIC_POSITIONS angstrom
Ir 0.000 0.000 3.805
La 1.688 1.688 5.658
Mg 0.000 0.000 0.359
Mg 1.688 1.688 2.419
CELL_PARAMETERS angstrom
3.375 0.000 0.000
0.000 3.375 0.000
0.000 0.000 8.160
```

Properties
As for the calculated density: 6.8 Mg/m³. The calculation puts the uncorrected energy at -18.1 eV/cell. Its space group is No. 99. As for the formation energy from the elements: -0.27 eV per atom. Its crystal system is tetragonal.



Record 4
This record from Alexandria describes crystalline Cs2RbBiCl at its relaxed geometry. The functional is GGA-PBE. Values from VASP.

Geometry as Quantum ESPRESSO input:
```
&SYSTEM
  ibrav = 0, nat = 5, ntyp = 4
/
ATOMIC_SPECIES
Cs 132.91 Cs.upf
Bi 208.98 Bi.upf
Rb 85.47 Rb.upf
Cl 35.45 Cl.upf
ATOMIC_POSITIONS angstrom
Cs -2.788 -1.644 -0.671
Cs -0.358 -0.703 3.209
Bi -1.497 -4.983 2.145
Rb 1.649 -2.636 -0.393
Cl 0.000 0.000 0.000
CELL_PARAMETERS angstrom
-0.717 -1.406 6.419
-5.575 -3.287 -1.343
3.298 -5.272 -0.787
```

Properties
As for the calculated density: 3.6 Mg/m³. The calculation puts the uncorrected energy at -12.6 eV/cell. Its space group is No. 123. The uncorrected formation energy comes out at -0.8393 eV per atom. Its crystal system is tetragonal.